# AlCuBr6 | the Open Quantum Materials Database | PBE | relaxed
data_AlCuBr6
_chemical_formula_sum 'Al4 Cu4 Br24'
_symmetry_space_group_name_H-M 'F -4 3 m'
_symmetry_Int_Tables_number 216
_symmetry_space_group_name_Hall 'F -4 2 3'
_cell_length_a 9.9398
_cell_length_b 9.9398
_cell_length_c 9.9398
_cell_angle_alpha 90.00
_cell_angle_beta 90.00
_cell_angle_gamma 90.00
loop_
_atom_site_label
_atom_site_fract_x
_atom_site_fract_y
_atom_site_fract_z
_atom_site_occupancy
Al1 0.0000 0.0000 0.0000 1
Cu1 0.2500 0.2500 0.2500 1
Br1 0.0000 0.0000 0.2472 1
# raw total energy: -74.935 eV for the cell shown

# RbMgZn | the Open Quantum Materials Database | PBE | relaxed
data_RbMgZn
_chemical_formula_sum 'Rb4 Mg4 Zn4'
_symmetry_space_group_name_H-M 'F -4 3 m'
_symmetry_Int_Tables_number 216
_symmetry_space_group_name_Hall 'F -4 2 3'
_cell_length_a 7.8460
_cell_length_b 7.8460
_cell_length_c 7.8460
_cell_angle_alpha 90.00
_cell_angle_beta 90.00
_cell_angle_gamma 90.00
loop_
_atom_site_label
_atom_site_fract_x
_atom_site_fract_y
_atom_site_fract_z
_atom_site_occupancy
Rb1 0.0000 0.0000 0.0000 1
Mg1 0.2500 0.2500 0.2500 1
Zn1 0.0000 0.0000 0.5000 1
# offset from the most stable computed form: 0 meV per atom

# DyYAu4 | the Open Quantum Materials Database | PBE | relaxed
data_DyYAu4
_chemical_formula_sum 'Dy1 Y1 Au4'
_symmetry_space_group_name_H-M 'P 4/m m m'
_symmetry_Int_Tables_number 123
_symmetry_space_group_name_Hall '-P 4 2'
_cell_length_a 3.7337
_cell_length_b 3.7337
_cell_length_c 9.0521
_cell_angle_alpha 90.00
_cell_angle_beta 90.00
_cell_angle_gamma 90.00
loop_
_atom_site_label
_atom_site_fract_x
_atom_site_fract_y
_atom_site_fract_z
_atom_site_occupancy
Dy1 0.0000 0.0000 0.0000 1
Y1 0.5000 0.5000 0.5000 1
Au1 0.0000 0.0000 0.3344 1
Au2 0.5000 0.5000 0.1654 1
# size of the total moment: 0.0 μB per formula unit
# calculated formation energy: -867 meV per atom

# Gd3Mg3Tl2Au | the Open Quantum Materials Database | PBE | relaxed
data_Gd3Mg3Tl2Au
_chemical_formula_sum 'Gd3 Mg3 Tl2 Au1'
_symmetry_space_group_name_H-M 'P -6 2 m'
_symmetry_Int_Tables_number 189
_symmetry_space_group_name_Hall 'P -6 -2'
_cell_length_a 7.5917
_cell_length_b 7.5917
_cell_length_c 4.4851
_cell_angle_alpha 90.00
_cell_angle_beta 90.00
_cell_angle_gamma 120.00
loop_
_atom_site_label
_atom_site_fract_x
_atom_site_fract_y
_atom_site_fract_z
_atom_site_occupancy
Gd1 0.0000 0.5927 0.0000 1
Mg1 0.0000 0.2367 0.5000 1
Tl1 0.3333 0.6667 0.5000 1
Au1 0.0000 0.0000 0.0000 1
# size of the total moment: 0.0 μB per formula unit
# raw total energy: -30.850 eV for the cell shown

# Sc4Ta2Ge3C3 | the Open Quantum Materials Database | PBE | relaxed
data_Sc4Ta2Ge3C3
_chemical_formula_sum 'Sc16 Ta8 Ge12 C12'
_symmetry_space_group_name_H-M 'C 1 2/c 1'
_symmetry_Int_Tables_number 15
_symmetry_space_group_name_Hall '-C 2yc'
_cell_length_a 9.8011
_cell_length_b 5.6773
_cell_length_c 13.9152
_cell_angle_alpha 90.00
_cell_angle_beta 103.86
_cell_angle_gamma 90.00
loop_
_atom_site_label
_atom_site_fract_x
_atom_site_fract_y
_atom_site_fract_z
_atom_site_occupancy
Sc1 0.1151 0.0758 0.0952 1
Sc2 0.2143 0.0871 0.4048 1
Ta1 0.0597 0.4134 0.9192 1
Ge1 0.0000 0.1274 0.7500 1
Ge2 0.1452 0.4351 0.2486 1
C1 0.0796 0.2613 0.5002 1
C2 0.2500 0.2500 0.0000 1
# size of the total moment: 0.0 μB per formula unit
# raw total energy: -396.324 eV for the cell shown

# BiAsOs | the Open Quantum Materials Database | PBE | relaxed
data_BiAsOs
_chemical_formula_sum 'Bi4 As4 Os4'
_symmetry_space_group_name_H-M 'F -4 3 m'
_symmetry_Int_Tables_number 216
_symmetry_space_group_name_Hall 'F -4 2 3'
_cell_length_a 6.3723
_cell_length_b 6.3723
_cell_length_c 6.3723
_cell_angle_alpha 90.00
_cell_angle_beta 90.00
_cell_angle_gamma 90.00
loop_
_atom_site_label
_atom_site_fract_x
_atom_site_fract_y
_atom_site_fract_z
_atom_site_occupancy
Bi1 0.0000 0.0000 0.0000 1
As1 0.0000 0.0000 0.5000 1
Os1 0.2500 0.2500 0.7500 1
# offset from the most stable computed form: 0 meV per atom
# size of the total moment: 0.0 μB per formula unit

Quick rundown of ρ, same order as above: 3855 2409 13675 8533 7030 12171 kg/m3